No. 1
# CsHgC

A relaxed structure of CsHgC (PBE, the Alexandria database).

Formation energy from the elements = 0.2521 eV/atom
Symmetry = P1

CIF file:
```
data_CsHgC
_space_group_name_H-M_alt 'P 1'
_space_group_IT_number 1
_space_group_name_Hall 'P 1'
_cell_length_a 4.5614
_cell_length_b 5.1581
_cell_length_c 9.5284
_cell_angle_alpha 90.02
_cell_angle_beta 92.95
_cell_angle_gamma 90.87
loop_
_atom_site_label
_atom_site_fract_x
_atom_site_fract_y
_atom_site_fract_z
Cs1 0.5684 0.3164 0.2419
Cs2 0.4835 0.8118 0.8747
C1 0.0653 0.7944 0.2285
C2 0.0184 0.8801 0.1050
Hg1 0.9222 0.3108 0.6490
Hg2 0.1454 0.8168 0.4807
```

No. 2
# CsHg3C

A relaxed structure of CsHg3C (PBE, the Alexandria database).

Formation energy from the elements = 0.8026 eV/atom
Symmetry = Pm-3m

CIF file:
```
data_CsHg3C
_space_group_name_H-M_alt 'P 1'
_space_group_IT_number 1
_space_group_name_Hall 'P 1'
_cell_length_a 5.2571
_cell_length_b 5.2571
_cell_length_c 5.2571
_cell_angle_alpha 90.00
_cell_angle_beta 90.00
_cell_angle_gamma 90.00
loop_
_atom_site_label
_atom_site_fract_x
_atom_site_fract_y
_atom_site_fract_z
Cs1 0.5000 0.5000 0.5000
C1 0.0000 0.0000 0.0000
Hg1 0.0000 0.5000 0.0000
Hg2 0.0000 0.0000 0.5000
Hg3 0.5000 0.0000 0.0000
```

No. 3
# CsHg2C2

A relaxed structure of CsHg2C2 (PBE, the Alexandria database).

Formation energy from the elements = 1.5227 eV/atom
Symmetry = I4/mmm

CIF file:
```
data_CsHg2C2
_space_group_name_H-M_alt 'P 1'
_space_group_IT_number 1
_space_group_name_Hall 'P 1'
_cell_length_a 4.4706
_cell_length_b 4.4706
_cell_length_c 6.9333
_cell_angle_alpha 71.19
_cell_angle_beta 71.19
_cell_angle_gamma 90.00
loop_
_atom_site_label
_atom_site_fract_x
_atom_site_fract_y
_atom_site_fract_z
Cs1 0.0000 0.0000 0.0000
C1 0.7500 0.2500 0.5000
C2 0.2500 0.7500 0.5000
Hg1 0.3008 0.3008 0.3983
Hg2 0.6992 0.6992 0.6017
```

No. 4
# CsHgC

A relaxed structure of CsHgC (PBE, the Alexandria database).

Formation energy from the elements = 1.0211 eV/atom
Symmetry = P4/mmm

CIF file:
```
data_CsHgC
_space_group_name_H-M_alt 'P 1'
_space_group_IT_number 1
_space_group_name_Hall 'P 1'
_cell_length_a 5.0439
_cell_length_b 5.0439
_cell_length_c 3.9902
_cell_angle_alpha 90.00
_cell_angle_beta 90.00
_cell_angle_gamma 90.00
loop_
_atom_site_label
_atom_site_fract_x
_atom_site_fract_y
_atom_site_fract_z
Cs1 0.5000 0.5000 0.0000
C1 0.0000 0.0000 0.0000
Hg1 0.0000 0.0000 0.5000
```

No. 5
# CsHgC

A relaxed structure of CsHgC (PBE, the Alexandria database).

Formation energy from the elements = 0.2442 eV/atom
Symmetry = P-1

CIF file:
```
data_CsHgC
_space_group_name_H-M_alt 'P 1'
_space_group_IT_number 1
_space_group_name_Hall 'P 1'
_cell_length_a 5.2628
_cell_length_b 5.9227
_cell_length_c 8.9654
_cell_angle_alpha 76.56
_cell_angle_beta 73.58
_cell_angle_gamma 63.81
loop_
_atom_site_label
_atom_site_fract_x
_atom_site_fract_y
_atom_site_fract_z
Cs1 0.2887 0.2720 0.1569
Cs2 0.7113 0.7280 0.8431
C1 0.0272 0.9007 0.0496
C2 0.9728 0.0993 0.9504
Hg1 0.8924 0.8326 0.3903
Hg2 0.1076 0.1674 0.6097
```

No. 6
# CsHg2C

A relaxed structure of CsHg2C (PBE, the Alexandria database).

Formation energy from the elements = 0.6672 eV/atom
Symmetry = I4_1/amd

CIF file:
```
data_CsHg2C
_space_group_name_H-M_alt 'P 1'
_space_group_IT_number 1
_space_group_name_Hall 'P 1'
_cell_length_a 7.0916
_cell_length_b 7.0916
_cell_length_c 7.1062
_cell_angle_alpha 60.07
_cell_angle_beta 60.07
_cell_angle_gamma 90.00
loop_
_atom_site_label
_atom_site_fract_x
_atom_site_fract_y
_atom_site_fract_z
Cs1 0.0000 0.0000 0.0000
Cs2 0.7500 0.2500 0.5000
C1 0.5000 0.5000 0.0000
C2 0.2500 0.7500 0.5000
Hg1 0.3752 0.1250 0.2500
Hg2 0.3748 0.6250 0.2500
Hg3 0.3750 0.6248 0.7500
Hg4 0.8750 0.6252 0.7500
```

No. 7
# CsHgC

A relaxed structure of CsHgC (PBE, the Alexandria database).

Formation energy from the elements = 0.2264 eV/atom
Symmetry = P-1

CIF file:
```
data_CsHgC
_space_group_name_H-M_alt 'P 1'
_space_group_IT_number 1
_space_group_name_Hall 'P 1'
_cell_length_a 5.4890
_cell_length_b 5.6610
_cell_length_c 7.9602
_cell_angle_alpha 109.19
_cell_angle_beta 90.18
_cell_angle_gamma 118.91
loop_
_atom_site_label
_atom_site_fract_x
_atom_site_fract_y
_atom_site_fract_z
Cs1 0.6042 0.2078 0.8170
Cs2 0.3958 0.7922 0.1830
C1 0.0399 0.0843 0.0828
C2 0.9601 0.9157 0.9172
Hg1 0.1524 0.3054 0.4516
Hg2 0.8476 0.6946 0.5484
```

No. 8
# Cs2HgCI6

A relaxed structure of Cs2HgCI6 (PBE, the Alexandria database).

Raw formation energy = -187 meV per atom
Symmetry = Fm-3m

CIF file:
```
data_Cs2HgCI6
_space_group_name_H-M_alt 'P 1'
_space_group_IT_number 1
_space_group_name_Hall 'P 1'
_cell_length_a 8.1588
_cell_length_b 8.1588
_cell_length_c 8.1608
_cell_angle_alpha 60.01
_cell_angle_beta 60.01
_cell_angle_gamma 90.00
loop_
_atom_site_label
_atom_site_fract_x
_atom_site_fract_y
_atom_site_fract_z
Cs1 0.7500 0.2500 0.5000
Cs2 0.2500 0.7500 0.5000
I1 0.2665 0.2665 0.4671
I2 0.7335 0.7335 0.5329
I3 0.2663 0.2663 0.0000
I4 0.7337 0.7337 0.0000
I5 0.7337 0.2663 0.0000
I6 0.2663 0.7337 0.0000
C1 0.5000 0.5000 0.0000
Hg1 0.0000 0.0000 0.0000
```

No. 9
# CsMgHg2C

A relaxed structure of CsMgHg2C (PBE, the Alexandria database).

Formation energy from the elements = 0.6969 eV/atom
Symmetry = P4/mmm

CIF file:
```
data_CsMgHg2C
_space_group_name_H-M_alt 'P 1'
_space_group_IT_number 1
_space_group_name_Hall 'P 1'
_cell_length_a 6.0144
_cell_length_b 4.3121
_cell_length_c 6.0144
_cell_angle_alpha 90.00
_cell_angle_beta 90.00
_cell_angle_gamma 90.00
loop_
_atom_site_label
_atom_site_fract_x
_atom_site_fract_y
_atom_site_fract_z
Cs1 0.5000 0.5000 0.5000
C1 0.0000 0.5000 0.0000
Mg1 0.0000 0.0000 0.0000
Hg1 0.0000 0.0000 0.5000
Hg2 0.5000 0.0000 0.0000
```

No. 10
# CsHg2C2O6

A relaxed structure of CsHg2C2O6 (PBE, the Alexandria database).

Raw formation energy = -1090 meV per atom
Symmetry = P-1

CIF file:
```
data_CsHg2C2O6
_space_group_name_H-M_alt 'P 1'
_space_group_IT_number 1
_space_group_name_Hall 'P 1'
_cell_length_a 5.7363
_cell_length_b 8.4065
_cell_length_c 5.3997
_cell_angle_alpha 118.51
_cell_angle_beta 102.69
_cell_angle_gamma 65.48
loop_
_atom_site_label
_atom_site_fract_x
_atom_site_fract_y
_atom_site_fract_z
Cs1 0.5000 0.0000 0.5000
Hg1 0.6857 0.4749 0.7072
Hg2 0.3143 0.5251 0.2928
C1 0.0522 0.7065 0.8826
C2 0.9478 0.2935 0.1174
O1 0.2819 0.6807 0.0054
O2 0.1243 0.2907 0.9976
O3 0.0032 0.7304 0.6556
O4 0.8757 0.7093 0.0024
O5 0.9968 0.2696 0.3444
O6 0.7181 0.3193 0.9946
```

No. 11
# CsHgC2O6

A relaxed structure of CsHgC2O6 (PBE, the Alexandria database).

Raw formation energy = -1166 meV per atom
Symmetry = C2/c

CIF file:
```
data_CsHgC2O6
_space_group_name_H-M_alt 'P 1'
_space_group_IT_number 1
_space_group_name_Hall 'P 1'
_cell_length_a 7.2719
_cell_length_b 7.2719
_cell_length_c 7.9652
_cell_angle_alpha 113.04
_cell_angle_beta 113.04
_cell_angle_gamma 83.16
loop_
_atom_site_label
_atom_site_fract_x
_atom_site_fract_y
_atom_site_fract_z
Cs1 0.1811 0.8189 0.2500
Cs2 0.8189 0.1811 0.7500
Hg1 0.6878 0.3122 0.2500
Hg2 0.3122 0.6878 0.7500
C1 0.3510 0.1884 0.8770
C2 0.8116 0.6490 0.6230
C3 0.6490 0.8116 0.1230
C4 0.1884 0.3510 0.3770
O1 0.0478 0.2433 0.2211
O2 0.7567 0.9522 0.2789
O3 0.9522 0.7567 0.7789
O4 0.2433 0.0478 0.7211
O5 0.3521 0.2815 0.4593
O6 0.7185 0.6479 0.0407
O7 0.6479 0.7185 0.5407
O8 0.2815 0.3521 0.9593
O9 0.1541 0.5452 0.4501
O10 0.4548 0.8459 0.0499
O11 0.8459 0.4548 0.5499
O12 0.5452 0.1541 0.9501
```

No. 12
# CsHg2CO

A relaxed structure of CsHg2CO (PBE, the Alexandria database).

Raw formation energy = 991 meV per atom
Symmetry = P4/mmm

CIF file:
```
data_CsHg2CO
_space_group_name_H-M_alt 'P 1'
_space_group_IT_number 1
_space_group_name_Hall 'P 1'
_cell_length_a 4.7601
_cell_length_b 6.4658
_cell_length_c 4.7601
_cell_angle_alpha 90.00
_cell_angle_beta 90.00
_cell_angle_gamma 90.00
loop_
_atom_site_label
_atom_site_fract_x
_atom_site_fract_y
_atom_site_fract_z
Cs1 0.0000 0.5000 0.0000
C1 0.5000 0.5000 0.5000
Hg1 0.0000 0.0000 0.5000
Hg2 0.5000 0.0000 0.0000
O1 0.0000 0.0000 0.0000
```

No. 13
# CsHgOsC2

A relaxed structure of CsHgOsC2 (PBE, the Alexandria database).

Formation energy from the elements = 1.5837 eV/atom
Symmetry = P4/mmm

CIF file:
```
data_CsHgOsC2
_space_group_name_H-M_alt 'P 1'
_space_group_IT_number 1
_space_group_name_Hall 'P 1'
_cell_length_a 4.1683
_cell_length_b 6.7340
_cell_length_c 4.1683
_cell_angle_alpha 90.00
_cell_angle_beta 90.00
_cell_angle_gamma 90.00
loop_
_atom_site_label
_atom_site_fract_x
_atom_site_fract_y
_atom_site_fract_z
Cs1 0.0000 0.5000 0.0000
C1 0.0000 0.0000 0.5000
C2 0.5000 0.0000 0.0000
Os1 0.0000 0.0000 0.0000
Hg1 0.5000 0.5000 0.5000
```

No. 14
# CsHgSbC2

A relaxed structure of CsHgSbC2 (PBE, the Alexandria database).

Raw formation energy = 1955 meV per atom
Symmetry = P4/mmm

CIF file:
```
data_CsHgSbC2
_space_group_name_H-M_alt 'P 1'
_space_group_IT_number 1
_space_group_name_Hall 'P 1'
_cell_length_a 4.5617
_cell_length_b 7.0603
_cell_length_c 4.5617
_cell_angle_alpha 90.00
_cell_angle_beta 90.00
_cell_angle_gamma 90.00
loop_
_atom_site_label
_atom_site_fract_x
_atom_site_fract_y
_atom_site_fract_z
Cs1 0.0000 0.5000 0.0000
Sb1 0.0000 0.0000 0.0000
C1 0.0000 0.0000 0.5000
C2 0.5000 0.0000 0.0000
Hg1 0.5000 0.5000 0.5000
```

| no. | magnetic moment (μB/f.u.) | DFT total energy (eV/cell) |
| --- | --- | --- |
| 1 | 0.00 | -19.246 |
| 2 | 0.00 | -6.970 |
| 3 | 0.00 | -12.291 |
| 4 | 0.00 | -7.316 |
| 5 | 0.00 | -19.293 |
| 6 | 0.00 | -16.024 |
| 7 | 0.00 | -19.400 |
| 8 | 0.00 | -22.407 |
| 9 | 1.07 | -8.791 |
| 10 | 0.00 | -61.643 |
| 11 | 1.02 | -122.031 |
| 12 | 2.85 | -10.684 |
| 13 | 0.00 | -22.914 |
| 14 | 0.00 | -13.951 |